Record 1
The following is a DFT calculation (PBE-GGA) of crystalline La2Ni2Ir at its relaxed geometry.

For the total energy, the calculation gives -0.23600 Ha/atom. For the total magnetic moment, the calculation gives 0.000 μB/atom. The calculated volume is 19.97 Å³/atom. The formation enthalpy at 0 K comes out at -35 kJ/mol of atoms.

extended XYZ file:
```
10
Lattice="7.059 0.000 0.000 0.000 7.059 0.000 0.000 0.000 4.008" Properties=species:S:1:pos:R:3 pbc="T T T"
La 1.335 2.194 0.000
La 2.194 5.724 0.000
La 4.865 1.335 0.000
La 5.724 4.865 0.000
Ni 0.853 4.382 2.004
Ni 2.677 0.853 2.004
Ni 4.382 6.207 2.004
Ni 6.207 2.677 2.004
Ir 0.000 0.000 2.004
Ir 3.530 3.530 2.004
```

=====

Record 2
The following is a DFT calculation (PBE-GGA) of crystalline La8Ni2Ir at its relaxed geometry.

For the total energy, the calculation gives -0.21012 Ha/atom. For the total magnetic moment, the calculation gives 0.000 μB/atom. The calculated volume is 31.59 Å³/atom. The formation enthalpy at 0 K comes out at -27 kJ/mol of atoms.

extended XYZ file:
```
11
Lattice="9.562 -1.998 0.000 9.562 1.998 0.000 -0.633 0.000 9.093" Properties=species:S:1:pos:R:3 pbc="T T T"
La 0.102 0.000 1.947
La 4.080 0.000 3.017
La 6.584 0.000 0.318
La 7.345 0.000 4.117
La 11.147 0.000 4.976
La 11.908 0.000 8.775
La 14.411 0.000 6.076
La 18.390 0.000 7.145
Ni 2.788 0.000 6.665
Ni 15.703 0.000 2.428
Ir 9.562 0.000 0.000
```

=====

Record 3
The following is a DFT calculation (PBE-GGA) of crystalline La12Ni2Ir5 at its relaxed geometry.

For the total energy, the calculation gives -0.24137 Ha/atom. For the total magnetic moment, the calculation gives 0.000 μB/atom. The calculated volume is 29.51 Å³/atom. The formation enthalpy at 0 K comes out at -50 kJ/mol of atoms.

extended XYZ file:
```
19
Lattice="8.096 -3.730 0.000 8.096 3.730 0.000 -2.761 0.000 9.282" Properties=species:S:1:pos:R:3 pbc="T T T"
La -0.753 0.000 2.767
La 4.166 1.879 3.592
La 3.079 1.895 8.821
La 10.353 1.895 0.460
La 9.266 1.879 5.689
La 5.176 0.000 6.532
La 8.256 0.000 2.750
La 4.166 -1.879 3.592
La 3.079 -1.895 8.821
La 10.353 -1.895 0.460
La 9.266 -1.879 5.689
La 14.185 0.000 6.515
Ni 6.716 1.377 4.641
Ni 6.716 -1.377 4.641
Ir 1.934 0.000 3.165
Ir 0.882 0.000 7.899
Ir 8.096 0.000 0.000
Ir 12.550 0.000 1.382
Ir 11.498 0.000 6.117
```